Here is MnBI2O after structural relaxation from the Alexandria database. Energies are from GGA+U.

- N(E_F): 0.823 states/eV per atom
- M_tot: 4.1 μB/f.u.
- Energy relative to the lowest polymorph listed for this composition: 0.2917 eV per atom

The structure in CIF format:
```
data_MnBI2O
_chemical_formula_sum 'Mn1 B1 I2 O1'
_space_group_name_H-M_alt 'P 4/m m m'
_space_group_IT_number 123
_space_group_name_Hall '-P 4 2'
_cell_length_a 5.762
_cell_length_b 5.762
_cell_length_c 3.707
_cell_angle_alpha 90.00
_cell_angle_beta 90.00
_cell_angle_gamma 90.00
loop_
_atom_site_label
_atom_site_type_symbol
_atom_site_fract_x
_atom_site_fract_y
_atom_site_fract_z
Mn1 Mn 0.000 0.000 0.000
B1 B 0.500 0.500 0.500
I1 I 0.000 0.500 0.000
O1 O 0.000 0.000 0.500
```